The following is a DFT calculation (PBE) of a relaxed ZnMo3 crystal.

```
ZnMo3
1.0
-0.803 -2.780 -2.676
3.334 -1.876 0.949
-1.943 -2.070 2.734
Zn Mo
1 3
Direct
0.500 0.500 0.000 Zn
0.000 0.500 0.500 Mo
0.000 0.000 0.000 Mo
0.500 0.000 0.500 Mo
```

## Properties
Calculated formation energy: 0.16 eV/atom
Offset from the most stable computed form: 0.52 eV per formula unit
Symmetry: Pm-3m, No. 221

The following is a DFT calculation (PBE) of a relaxed LaY2Co2 crystal.

```
LaY2Co2
1.0
-0.807 -3.111 3.187
4.137 0.676 1.707
-0.430 2.869 5.907
Co La Y
2 1 2
Direct
0.403 0.403 0.193 Co
0.597 0.597 0.807 Co
0.000 0.000 0.000 La
0.750 0.250 0.500 Y
0.250 0.750 0.500 Y
```

## Properties
Calculated formation energy: 0.00 eV/atom
Offset from the most stable computed form: 0.63 eV per formula unit
Symmetry: I4/mmm, No. 139

The following is a DFT calculation (PBE) of a relaxed SiBAu crystal.

```
SiBAu
1.0
-4.934 -0.066 -2.979
-2.057 -2.059 1.927
-5.066 2.828 1.629
B Si Au
2 2 2
Direct
0.520 0.162 0.773 B
0.827 0.037 0.469 B
0.354 0.739 0.756 Si
0.809 0.642 0.305 Si
0.323 0.951 0.274 Au
0.885 0.884 0.838 Au
```

## Properties
Total DFT energy (no corrections): -29.4 eV for the cell shown
Symmetry: P1, No. 1

The following is a DFT calculation (PBE) of a relaxed ZnCr2Ru crystal.

```
ZnCr2Ru
1.0
2.557 0.011 0.000
-0.916 2.388 0.000
0.000 0.000 8.542
Cr Zn Ru
2 1 1
Direct
0.000 0.000 0.006 Cr
0.000 0.000 0.494 Cr
0.500 0.500 0.750 Zn
0.500 0.500 0.250 Ru
```

## Properties
Calculated formation energy: 0.30 eV/atom
Symmetry: Cmmm, No. 65

The following is a DFT calculation (PBE) of a relaxed DyYHgPb crystal.

```
DyYHgPb
1.0
-2.514 -1.522 -2.631
2.896 -4.361 -0.245
-2.810 -2.084 3.890
Pb Hg Y Dy
1 1 1 1
Direct
0.000 0.500 0.500 Pb
0.000 0.000 0.000 Hg
0.500 0.500 0.000 Y
0.500 0.000 0.500 Dy
```

## Properties
Calculated formation energy: -0.47 eV/atom
Offset from the most stable computed form: 0.00 eV per formula unit
Symmetry: Pmmm, No. 47

The following is a DFT calculation (PBE) of a relaxed LaHPd crystal.

```
LaHPd
1.0
-2.081 -0.023 -3.402
0.677 -4.264 -0.385
-6.211 -1.120 1.483
H Pd La
2 2 2
Direct
0.070 0.716 0.877 H
0.553 0.216 0.916 H
0.742 0.716 0.535 Pd
0.882 0.216 0.258 Pd
0.459 0.716 0.103 La
0.164 0.216 0.690 La
```

## Properties
Offset from the most stable computed form: 0.00 eV per formula unit
Symmetry: P2_1/m, No. 11

Calculated values (μB per atom) of size of the total moment for the records, taken in order: 0.000, 0.000, 0.000, 0.002, 0.000, 0.000.